No. 1
A plane-wave DFT calculation with GGA-PBE was carried out for a relaxed NaSeIBr2 crystal.

The structure belongs to space group P4/mmm (No. 123); the cell edges are 5.0228, 5.0228 and 8.0041 Å and the angles 90.00°, 90.00° and 90.00°. The inequivalent atoms are Na at (0.0000, 0.0000, 0.0000), Se at (0.0000, 0.0000, 0.5000), I at (0.5000, 0.5000, 0.5000) and Br at (0.0000, 0.5000, 0.0000).

Its excess energy over the best structure of this formula in the dataset is 546 meV per atom. The value obtained for the formation energy (no corrections) is 0.1372 eV per atom.

No. 2
A plane-wave DFT calculation with GGA-PBE was carried out for a relaxed NaSeIBr2 crystal.

The structure belongs to space group P4/mmm (No. 123); the cell edges are 5.6450, 5.6450 and 5.5550 Å and the angles 90.00°, 90.00° and 90.00°. The inequivalent atoms are Na at (0.0000, 0.0000, 0.0000), Se at (0.5000, 0.5000, 0.5000), I at (0.5000, 0.5000, 0.0000) and Br at (0.0000, 0.5000, 0.5000).

Its excess energy over the best structure of this formula in the dataset is 0 meV per atom. The value obtained for the formation energy (no corrections) is -0.4087 eV per atom.